# Cd3Ag2I8 | the Alexandria database | PBE | optimized geometry
# spin magnetization: 0.00 Bohr magnetons per cell
# energy relative to the elements, uncorrected: -0.457 eV/atom
# electronic total energy: -2.0605 eV per atom
data_Cd3Ag2I8
_chemical_formula_sum 'Cd3 Ag2 I8'
_cell_length_a 9.034
_cell_length_b 9.034
_cell_length_c 7.662
_cell_angle_alpha 107.02
_cell_angle_beta 107.02
_cell_angle_gamma 58.53
_symmetry_space_group_name_H-M 'P 1'
_symmetry_Int_Tables_number 1
loop_
_symmetry_equiv_pos_as_xyz
'x,y,z'
loop_
_atom_site_label
_atom_site_fract_x
_atom_site_fract_y
_atom_site_fract_z
Cd1 0.000 0.000 0.000
Cd2 0.249 0.751 0.500
Cd3 0.751 0.249 0.500
Ag1 0.397 0.397 0.935
Ag2 0.603 0.603 0.065
I1 0.113 0.650 0.740
I2 0.115 0.115 0.749
I3 0.350 0.887 0.260
I4 0.379 0.379 0.281
I5 0.621 0.621 0.719
I6 0.650 0.113 0.740
I7 0.885 0.885 0.251
I8 0.887 0.350 0.260